{
  "formula": "Nd5Ho4Tm",
  "functional": "PBE-GGA",
  "state": "relaxed",
  "dos_at_fermi_per_ev_cell": 12.90,
  "total_energy_ev_per_atom": -4.64,
  "formation_enthalpy_0k_ev_per_atom": 0.02,
  "magnetic_moment_mub_per_cell": 0.00,
  "cell": [[3.599, 0.000, 0.000], [1.785, 9.328, 0.000], [0.010, 2.812, 9.804]],
  "species": ["Nd", "Nd", "Nd", "Nd", "Nd", "Ho", "Ho", "Ho", "Ho", "Tm"],
  "fractional_positions": [[0.000, 0.000, 0.000], [0.200, 0.599, 0.101], [0.400, 0.199, 0.695], [0.600, 0.801, 0.305], [0.800, 0.401, 0.899], [0.199, 0.601, 0.600], [0.400, 0.201, 0.205], [0.600, 0.799, 0.795], [0.801, 0.399, 0.400], [0.000, 0.000, 0.500]]
}



{
  "formula": "AcYSi2Pd5",
  "functional": "PBE-GGA",
  "state": "relaxed",
  "dos_at_fermi_per_ev_cell": 3.01,
  "total_energy_ev_per_atom": -6.13,
  "formation_energy_uncorrected_ev_per_fu": -7.77,
  "magnetic_moment_mub_per_cell": 0.00,
  "cell": [[4.291, 0.000, 0.000], [0.000, 4.291, 0.000], [0.000, 0.000, 9.113]],
  "species": ["Ac", "Y", "Si", "Si", "Pd", "Pd", "Pd", "Pd", "Pd"],
  "fractional_positions": [[0.000, 0.000, 0.000], [0.000, 0.000, 0.500], [0.500, 0.500, 0.371], [0.500, 0.500, 0.629], [0.000, 0.500, 0.244], [0.000, 0.500, 0.756], [0.500, 0.000, 0.244], [0.500, 0.000, 0.756], [0.500, 0.500, 0.000]]
}



{
  "formula": "NaZr2O",
  "functional": "PBE-GGA",
  "state": "relaxed",
  "dos_at_fermi_per_ev_cell": 14.95,
  "total_energy_ev_per_atom": -6.52,
  "formation_energy_uncorrected_ev_per_fu": -2.71,
  "magnetic_moment_mub_per_cell": 0.00,
  "cell": [[6.691, 0.000, 0.000], [0.000, 6.691, 0.000], [0.000, 0.000, 8.260]],
  "species": ["Na", "Na", "Na", "Na", "Zr", "Zr", "Zr", "Zr", "Zr", "Zr", "Zr", "Zr", "O", "O", "O", "O"],
  "fractional_positions": [[0.000, 0.000, 0.000], [0.000, 0.500, 0.250], [0.500, 0.000, 0.750], [0.500, 0.500, 0.500], [0.106, 0.250, 0.625], [0.250, 0.606, 0.875], [0.250, 0.894, 0.375], [0.394, 0.250, 0.125], [0.606, 0.750, 0.125], [0.750, 0.106, 0.375], [0.750, 0.394, 0.875], [0.894, 0.750, 0.625], [0.000, 0.000, 0.500], [0.000, 0.500, 0.750], [0.500, 0.000, 0.250], [0.500, 0.500, 0.000]]
}



{
  "formula": "BaSr2Ca",
  "functional": "PBE-GGA",
  "state": "relaxed",
  "dos_at_fermi_per_ev_cell": 11.34,
  "e_above_lowest_polymorph_kj_per_mol_fu": 2,
  "total_energy_ev_per_atom": -1.80,
  "formation_enthalpy_0k_ev_per_atom": 0.02,
  "magnetic_moment_mub_per_cell": 0.00,
  "cell": [[6.290, 0.000, 0.000], [0.000, 6.290, 0.000], [0.000, 0.000, 10.833]],
  "species": ["Ba", "Ba", "Sr", "Sr", "Sr", "Sr", "Ca", "Ca"],
  "fractional_positions": [[0.250, 0.250, 0.235], [0.750, 0.750, 0.765], [0.250, 0.250, 0.766], [0.250, 0.750, 0.500], [0.750, 0.250, 0.500], [0.750, 0.750, 0.234], [0.250, 0.750, 0.000], [0.750, 0.250, 0.000]]
}



{
  "formula": "Li2AcAsO",
  "functional": "PBE-GGA",
  "state": "relaxed",
  "dos_at_fermi_per_ev_cell": 0.17,
  "total_energy_ev_per_atom": -5.09,
  "formation_energy_uncorrected_ev_per_fu": -7.91,
  "magnetic_moment_mub_per_cell": 0.00,
  "cell": [[4.330, 0.000, 0.000], [0.000, 4.330, 0.000], [0.000, 0.000, 5.252]],
  "species": ["Li", "Li", "Ac", "As", "O"],
  "fractional_positions": [[0.000, 0.500, 0.000], [0.500, 0.000, 0.000], [0.000, 0.000, 0.523], [0.500, 0.500, 0.656], [0.000, 0.000, 0.072]]
}



{
  "formula": "As2IrBr",
  "functional": "PBE-GGA",
  "state": "relaxed",
  "dos_at_fermi_per_ev_cell": 1.90,
  "e_above_lowest_polymorph_kj_per_mol_fu": 90,
  "total_energy_ev_per_atom": -4.91,
  "formation_energy_uncorrected_ev_per_fu": 0.21,
  "magnetic_moment_mub_per_cell": 0.00,
  "cell": [[3.982, 0.000, 0.000], [0.000, 3.863, 0.000], [-1.218, 0.000, 7.160]],
  "species": ["As", "As", "Ir", "Br"],
  "fractional_positions": [[0.000, 0.000, 0.000], [0.445, 0.500, 0.978], [0.868, 0.500, 0.771], [0.742, 0.000, 0.534]]
}



{
  "formula": "NbS3Cl6",
  "functional": "PBE-GGA",
  "state": "relaxed",
  "dos_at_fermi_per_ev_cell": 6.13,
  "total_energy_ev_per_atom": -3.97,
  "formation_energy_uncorrected_ev_per_fu": -6.17,
  "magnetic_moment_mub_per_cell": 4.03,
  "cell": [[6.952, 4.014, 4.457], [-6.952, 4.014, 4.457], [0.000, -8.027, 4.457]],
  "species": ["Nb", "Nb", "S", "S", "S", "S", "S", "S", "Cl", "Cl", "Cl", "Cl", "Cl", "Cl", "Cl", "Cl", "Cl", "Cl", "Cl", "Cl"],
  "fractional_positions": [[0.000, 0.000, 0.000], [0.500, 0.500, 0.500], [0.050, 0.483, 0.090], [0.090, 0.050, 0.483], [0.483, 0.090, 0.050], [0.517, 0.910, 0.950], [0.910, 0.950, 0.517], [0.950, 0.517, 0.910], [0.060, 0.806, 0.827], [0.173, 0.940, 0.194], [0.194, 0.173, 0.940], [0.247, 0.418, 0.526], [0.418, 0.526, 0.247], [0.474, 0.753, 0.582], [0.526, 0.247, 0.418], [0.582, 0.474, 0.753], [0.753, 0.582, 0.474], [0.806, 0.827, 0.060], [0.827, 0.060, 0.806], [0.940, 0.194, 0.173]]
}



{
  "formula": "LiP2Ru",
  "functional": "PBE-GGA",
  "state": "relaxed",
  "dos_at_fermi_per_ev_cell": 5.05,
  "e_above_lowest_polymorph_kj_per_mol_fu": 83,
  "total_energy_ev_per_atom": -5.64,
  "formation_enthalpy_0k_ev_per_atom": -0.14,
  "magnetic_moment_mub_per_cell": 0.00,
  "cell": [[5.042, 0.000, 0.000], [0.000, 6.809, 0.000], [0.000, 0.000, 2.969]],
  "species": ["Li", "Li", "P", "P", "P", "P", "Ru", "Ru"],
  "fractional_positions": [[0.000, 0.000, 0.000], [0.500, 0.500, 0.000], [0.250, 0.250, 0.500], [0.250, 0.750, 0.500], [0.750, 0.250, 0.500], [0.750, 0.750, 0.500], [0.000, 0.500, 0.000], [0.500, 0.000, 0.000]]
}



{
  "formula": "YTeO",
  "functional": "PBE-GGA",
  "state": "relaxed",
  "total_energy_ev_per_atom": -7.04,
  "formation_energy_uncorrected_ev_per_fu": -6.54,
  "magnetic_moment_mub_per_cell": 0.00,
  "cell": [[6.563, 0.000, 0.000], [0.000, 4.252, 0.000], [-0.494, 0.000, 9.404]],
  "species": ["Y", "Y", "Y", "Y", "Te", "Te", "Te", "Te", "O", "O", "O", "O"],
  "fractional_positions": [[0.186, 0.000, 0.147], [0.314, 0.500, 0.853], [0.686, 0.500, 0.147], [0.814, 0.000, 0.853], [0.096, 0.500, 0.373], [0.404, 0.000, 0.627], [0.596, 0.000, 0.373], [0.904, 0.500, 0.627], [0.171, 0.000, 0.907], [0.329, 0.500, 0.093], [0.671, 0.500, 0.907], [0.829, 0.000, 0.093]]
}



{
  "formula": "Tb4Bi2Pt",
  "functional": "PBE-GGA",
  "state": "relaxed",
  "dos_at_fermi_per_ev_cell": 7.75,
  "total_energy_ev_per_atom": -5.37,
  "formation_enthalpy_0k_ev_per_atom": -0.76,
  "magnetic_moment_mub_per_cell": 0.00,
  "cell": [[6.990, 0.000, 0.000], [0.000, 6.699, 0.000], [-1.914, 0.000, 8.609]],
  "species": ["Tb", "Tb", "Tb", "Tb", "Tb", "Tb", "Tb", "Tb", "Bi", "Bi", "Bi", "Bi", "Pt", "Pt"],
  "fractional_positions": [[0.158, 0.011, 0.293], [0.158, 0.489, 0.293], [0.304, 0.250, 0.931], [0.321, 0.750, 0.663], [0.679, 0.250, 0.337], [0.696, 0.750, 0.069], [0.842, 0.511, 0.707], [0.842, 0.989, 0.707], [0.178, 0.750, 0.977], [0.445, 0.250, 0.612], [0.555, 0.750, 0.388], [0.822, 0.250, 0.023], [0.040, 0.250, 0.556], [0.960, 0.750, 0.444]]
}



{
  "formula": "VCo2PdC",
  "functional": "PBE-GGA",
  "state": "relaxed",
  "dos_at_fermi_per_ev_cell": 6.67,
  "total_energy_ev_per_atom": -7.53,
  "formation_enthalpy_0k_ev_per_atom": 0.02,
  "magnetic_moment_mub_per_cell": 2.34,
  "cell": [[3.781, 0.000, 0.000], [0.000, 3.781, 0.000], [0.000, 0.000, 3.994]],
  "species": ["V", "Co", "Co", "Pd", "C"],
  "fractional_positions": [[0.000, 0.000, 0.000], [0.000, 0.500, 0.500], [0.500, 0.000, 0.500], [0.500, 0.500, 0.000], [0.000, 0.000, 0.500]]
}



{
  "formula": "Ho8Tl2Tc",
  "functional": "PBE-GGA",
  "state": "relaxed",
  "dos_at_fermi_per_ev_cell": 9.43,
  "total_energy_ev_per_atom": -4.86,
  "formation_enthalpy_0k_ev_per_atom": -0.16,
  "magnetic_moment_mub_per_cell": 0.00,
  "cell": [[8.683, -2.716, 0.000], [8.683, 2.716, 0.000], [-2.616, 0.000, 6.478]],
  "species": ["Ho", "Ho", "Ho", "Ho", "Ho", "Ho", "Ho", "Ho", "Tl", "Tl", "Tc"],
  "fractional_positions": [[0.013, 0.013, 0.278], [0.193, 0.193, 0.756], [0.356, 0.356, 0.577], [0.402, 0.402, 0.090], [0.598, 0.598, 0.910], [0.644, 0.644, 0.423], [0.807, 0.807, 0.244], [0.987, 0.987, 0.722], [0.183, 0.183, 0.193], [0.817, 0.817, 0.807], [0.500, 0.500, 0.500]]
}



{
  "formula": "Tm2Mn2C3",
  "functional": "PBE-GGA",
  "state": "relaxed",
  "dos_at_fermi_per_ev_cell": 8.19,
  "e_above_lowest_polymorph_kj_per_mol_fu": 0,
  "total_energy_ev_per_atom": -8.20,
  "formation_enthalpy_0k_ev_per_atom": -0.35,
  "magnetic_moment_mub_per_cell": 0.00,
  "cell": [[10.125, 0.000, 0.000], [0.000, 3.347, 0.000], [-1.453, 0.000, 5.240]],
  "species": ["Tm", "Tm", "Tm", "Tm", "Mn", "Mn", "Mn", "Mn", "C", "C", "C", "C", "C", "C"],
  "fractional_positions": [[0.107, 0.000, 0.316], [0.393, 0.500, 0.684], [0.607, 0.500, 0.316], [0.893, 0.000, 0.684], [0.156, 0.500, 0.890], [0.344, 0.000, 0.110], [0.656, 0.000, 0.890], [0.844, 0.500, 0.110], [0.000, 0.500, 0.000], [0.212, 0.000, 0.769], [0.288, 0.500, 0.231], [0.500, 0.000, 0.000], [0.712, 0.500, 0.769], [0.788, 0.000, 0.231]]
}



{
  "formula": "Si2TcHg",
  "functional": "PBE-GGA",
  "state": "relaxed",
  "dos_at_fermi_per_ev_cell": 9.75,
  "total_energy_ev_per_atom": -5.04,
  "formation_energy_uncorrected_ev_per_fu": 1.34,
  "magnetic_moment_mub_per_cell": 0.88,
  "cell": [[3.092, 0.000, 0.000], [-1.546, 2.678, 0.000], [0.000, 0.000, 24.058]],
  "species": ["Si", "Si", "Si", "Si", "Si", "Si", "Tc", "Tc", "Tc", "Hg", "Hg", "Hg"],
  "fractional_positions": [[0.000, 0.000, 0.000], [0.000, 0.000, 0.259], [0.333, 0.667, 0.667], [0.333, 0.667, 0.926], [0.667, 0.333, 0.333], [0.667, 0.333, 0.593], [0.000, 0.000, 0.523], [0.333, 0.667, 0.190], [0.667, 0.333, 0.857], [0.000, 0.000, 0.760], [0.333, 0.667, 0.427], [0.667, 0.333, 0.093]]
}



{
  "formula": "CaPuSnPd",
  "functional": "PBE-GGA",
  "state": "relaxed",
  "dos_at_fermi_per_ev_cell": 50.27,
  "total_energy_ev_per_atom": -6.80,
  "formation_enthalpy_0k_ev_per_atom": -0.41,
  "magnetic_moment_mub_per_cell": 21.07,
  "cell": [[7.369, 0.000, 0.000], [0.000, 7.369, 0.000], [0.000, 0.000, 7.369]],
  "species": ["Ca", "Ca", "Ca", "Ca", "Pu", "Pu", "Pu", "Pu", "Sn", "Sn", "Sn", "Sn", "Pd", "Pd", "Pd", "Pd"],
  "fractional_positions": [[0.000, 0.000, 0.000], [0.000, 0.500, 0.500], [0.500, 0.000, 0.500], [0.500, 0.500, 0.000], [0.000, 0.000, 0.500], [0.000, 0.500, 0.000], [0.500, 0.000, 0.000], [0.500, 0.500, 0.500], [0.250, 0.250, 0.250], [0.250, 0.750, 0.750], [0.750, 0.250, 0.750], [0.750, 0.750, 0.250], [0.250, 0.250, 0.750], [0.250, 0.750, 0.250], [0.750, 0.250, 0.250], [0.750, 0.750, 0.750]]
}



{
  "formula": "Pa3Co7C2",
  "functional": "PBE-GGA",
  "state": "relaxed",
  "dos_at_fermi_per_ev_cell": 8.72,
  "total_energy_ev_per_atom": -8.25,
  "formation_enthalpy_0k_ev_per_atom": -0.20,
  "magnetic_moment_mub_per_cell": 0.01,
  "cell": [[1.960, -10.699, 0.000], [1.960, 10.699, 0.000], [0.000, 0.000, 3.790]],
  "species": ["Pa", "Pa", "Pa", "Co", "Co", "Co", "Co", "Co", "Co", "Co", "C", "C"],
  "fractional_positions": [[0.000, 0.000, 0.000], [0.201, 0.799, 0.000], [0.799, 0.201, 0.000], [0.093, 0.907, 0.500], [0.322, 0.678, 0.500], [0.405, 0.595, 0.000], [0.500, 0.500, 0.500], [0.595, 0.405, 0.000], [0.678, 0.322, 0.500], [0.907, 0.093, 0.500], [0.408, 0.592, 0.500], [0.592, 0.408, 0.500]]
}



{
  "formula": "Re2SiTe",
  "functional": "PBE-GGA",
  "state": "relaxed",
  "dos_at_fermi_per_ev_cell": 21.00,
  "e_above_lowest_polymorph_kj_per_mol_fu": 156,
  "total_energy_ev_per_atom": -7.66,
  "formation_energy_uncorrected_ev_per_fu": 2.83,
  "magnetic_moment_mub_per_cell": 0.00,
  "cell": [[4.244, 0.000, 0.000], [0.000, 4.244, 0.000], [0.000, 0.000, 16.703]],
  "species": ["Re", "Re", "Re", "Re", "Re", "Re", "Re", "Re", "Si", "Si", "Si", "Si", "Te", "Te", "Te", "Te"],
  "fractional_positions": [[0.181, 0.250, 0.125], [0.250, 0.681, 0.375], [0.250, 0.819, 0.875], [0.319, 0.250, 0.625], [0.681, 0.750, 0.625], [0.750, 0.181, 0.875], [0.750, 0.319, 0.375], [0.819, 0.750, 0.125], [0.000, 0.000, 0.000], [0.000, 0.500, 0.250], [0.500, 0.000, 0.750], [0.500, 0.500, 0.500], [0.000, 0.000, 0.500], [0.000, 0.500, 0.750], [0.500, 0.000, 0.250], [0.500, 0.500, 0.000]]
}



{
  "formula": "PmGe3Pt3",
  "functional": "PBE-GGA",
  "state": "relaxed",
  "dos_at_fermi_per_ev_cell": 7.50,
  "e_above_lowest_polymorph_kj_per_mol_fu": 0,
  "total_energy_ev_per_atom": -5.84,
  "formation_enthalpy_0k_ev_per_atom": -0.60,
  "magnetic_moment_mub_per_cell": 0.00,
  "cell": [[3.581, 2.067, 6.664], [-3.581, 2.067, 6.664], [0.000, -4.135, 6.664]],
  "species": ["Pm", "Pm", "Ge", "Ge", "Ge", "Ge", "Ge", "Ge", "Pt", "Pt", "Pt", "Pt", "Pt", "Pt"],
  "fractional_positions": [[0.166, 0.166, 0.166], [0.834, 0.834, 0.834], [0.114, 0.417, 0.708], [0.292, 0.886, 0.583], [0.417, 0.708, 0.114], [0.583, 0.292, 0.886], [0.708, 0.114, 0.417], [0.886, 0.583, 0.292], [0.027, 0.739, 0.376], [0.261, 0.624, 0.973], [0.376, 0.027, 0.739], [0.624, 0.973, 0.261], [0.739, 0.376, 0.027], [0.973, 0.261, 0.624]]
}



{
  "formula": "Sm3ErTl4S8",
  "functional": "PBE-GGA",
  "state": "relaxed",
  "dos_at_fermi_per_ev_cell": 0.00,
  "total_energy_ev_per_atom": -5.30,
  "formation_energy_uncorrected_ev_per_fu": -23.54,
  "magnetic_moment_mub_per_cell": 0.00,
  "cell": [[4.094, 2.364, 7.511], [-4.094, 2.364, 7.511], [0.000, -4.727, 7.511]],
  "species": ["Sm", "Sm", "Sm", "Er", "Tl", "Tl", "Tl", "Tl", "S", "S", "S", "S", "S", "S", "S", "S"],
  "fractional_positions": [[0.000, 0.500, 0.500], [0.500, 0.000, 0.500], [0.500, 0.500, 0.000], [0.000, 0.000, 0.000], [0.000, 0.000, 0.500], [0.000, 0.500, 0.000], [0.500, 0.000, 0.000], [0.500, 0.500, 0.500], [0.230, 0.230, 0.740], [0.230, 0.740, 0.230], [0.260, 0.770, 0.770], [0.266, 0.266, 0.266], [0.734, 0.734, 0.734], [0.740, 0.230, 0.230], [0.770, 0.260, 0.770], [0.770, 0.770, 0.260]]
}



{
  "formula": "NdHgTe",
  "functional": "PBE-GGA",
  "state": "relaxed",
  "dos_at_fermi_per_ev_cell": 6.93,
  "e_above_lowest_polymorph_kj_per_mol_fu": 0,
  "total_energy_ev_per_atom": -3.67,
  "formation_energy_uncorrected_ev_per_fu": -2.81,
  "magnetic_moment_mub_per_cell": 0.00,
  "cell": [[18.092, 0.000, 0.000], [0.000, 4.451, 0.000], [0.000, 0.000, 4.442]],
  "species": ["Nd", "Nd", "Nd", "Nd", "Hg", "Hg", "Hg", "Hg", "Te", "Te", "Te", "Te"],
  "fractional_positions": [[0.147, 0.250, 0.219], [0.353, 0.750, 0.719], [0.647, 0.250, 0.281], [0.853, 0.750, 0.781], [0.001, 0.750, 0.256], [0.499, 0.250, 0.756], [0.501, 0.750, 0.244], [0.999, 0.250, 0.744], [0.174, 0.750, 0.718], [0.326, 0.250, 0.218], [0.674, 0.750, 0.782], [0.826, 0.250, 0.282]]
}